Record 1
Computed, not measured: crystalline KGdAgTe3 at its relaxed geometry at the PBE level of DFT.

Cell: 11.448 4.315 16.373 Å, 90.00 90.00 90.00°
Space group Pnma (No. 62)
One atom of each set of equivalent atoms:
K1 0.235 0.250 0.006 x4
Gd1 0.016 0.750 0.749 x4
Ag1 0.237 0.750 0.217 x4
Te1 0.038 0.750 0.119 x4
Te2 0.066 0.250 0.616 x4
Te3 0.234 0.250 0.329 x4

Density (g/cm3): 5.6
Spin magnetization (μB/f.u.): 0.0
Total energy (eV per atom): -3.91

Record 2
Computed, not measured: crystalline KGdAgTe3 at its relaxed geometry at the PBE level of DFT.

Cell: 4.311 16.315 11.448 Å, 90.00 90.00 90.00°
Space group Cmcm (No. 63)
One atom of each set of equivalent atoms:
K1 0.000 0.244 0.250 x4
Gd1 0.000 0.000 0.000 x4
Ag1 0.000 0.465 0.750 x4
Te1 0.000 0.078 0.750 x4
Te2 0.000 0.367 0.551 x8

Density (g/cm3): 5.7
Spin magnetization (μB/f.u.): 0.0
Total energy (eV per atom): -3.91

Record 3
Computed, not measured: crystalline LaGdAg3 at its relaxed geometry at the PBE level of DFT.

Cell: 5.380 5.380 5.380 Å, 90.00 90.00 90.00°
Space group Pm-3m (No. 221)
One atom of each set of equivalent atoms:
La1 0.000 0.000 0.000 x1
Gd1 0.500 0.500 0.500 x1
Ag1 0.000 0.000 0.500 x3

Density (g/cm3): 6.6
Spin magnetization (μB/f.u.): 0.0
Energy of formation (eV/atom): 0.60

Record 4
Computed, not measured: crystalline LaGd5Mg6Ag6 at its relaxed geometry at the PBE level of DFT.

Cell: 7.696 4.249 13.329 Å, 90.00 90.03 90.00°
Space group Pm (No. 6)
One atom of each set of equivalent atoms:
La1 0.000 0.000 0.000 x1
Gd1 0.000 0.000 0.583 x1
Gd2 0.122 0.000 0.295 x1
Gd3 0.501 0.000 0.086 x1
Gd4 0.501 0.000 0.499 x1
Gd5 0.623 0.000 0.789 x1
Mg1 0.330 0.500 0.669 x1
Mg2 0.333 0.500 0.912 x1
Mg3 0.465 0.500 0.295 x1
Mg4 0.826 0.500 0.174 x1
Mg5 0.829 0.500 0.415 x1
Mg6 0.964 0.500 0.788 x1
Ag1 0.208 0.500 0.460 x1
Ag2 0.210 0.000 0.788 x1
Ag3 0.214 0.500 0.131 x1
Ag4 0.699 0.500 0.957 x1
Ag5 0.707 0.500 0.624 x1
Ag6 0.708 0.000 0.293 x1

Density (g/cm3): 6.5
Spin magnetization (μB/f.u.): 0.0
Total energy (eV per atom): -3.30

Record 5
Computed, not measured: crystalline La2GdMg3Ag3 at its relaxed geometry at the PBE level of DFT.

Cell: 7.819 4.319 13.525 Å, 90.00 90.12 90.00°
Space group Pm (No. 6)
One atom of each set of equivalent atoms:
La1 0.000 0.000 0.000 x1
La2 0.001 0.000 0.415 x1
La3 0.128 0.000 0.705 x1
La4 0.505 0.000 0.915 x1
Gd1 0.506 0.000 0.498 x1
Gd2 0.625 0.000 0.210 x1
Mg1 0.334 0.500 0.091 x1
Mg2 0.336 0.500 0.327 x1
Mg3 0.473 0.500 0.703 x1
Mg4 0.826 0.500 0.585 x1
Mg5 0.829 0.500 0.826 x1
Mg6 0.967 0.500 0.209 x1
Ag1 0.212 0.500 0.874 x1
Ag2 0.215 0.000 0.208 x1
Ag3 0.221 0.500 0.537 x1
Ag4 0.702 0.500 0.373 x1
Ag5 0.707 0.500 0.047 x1
Ag6 0.709 0.000 0.703 x1

Density (g/cm3): 6.0
Spin magnetization (μB/f.u.): 0.0
Total energy (eV per atom): -3.35

Record 6
Computed, not measured: crystalline La2GdMg3Ag3 at its relaxed geometry at the PBE level of DFT.

Cell: 4.327 13.571 7.803 Å, 90.00 90.00 90.00°
Space group Amm2 (No. 38)
One atom of each set of equivalent atoms:
La1 0.000 0.208 0.000 x4
Gd1 0.000 0.000 0.376 x2
Mg1 0.500 0.000 0.035 x2
Mg2 0.500 0.118 0.669 x4
Ag1 0.000 0.000 0.786 x2
Ag2 0.500 0.162 0.294 x4

Density (g/cm3): 6.0
Spin magnetization (μB/f.u.): 0.0
Total energy (eV per atom): -3.35